# 1
VASP calculation (PBE) on a relaxed structure of In2BAs.

```
In2BAs
1.0
-0.052 -0.340 4.839
-4.074 0.954 2.455
-2.435 -3.602 2.153
As B In
1 1 2
Cartesian
-3.281 -1.494 4.723 As
0.000 0.000 0.000 B
-1.640 -0.747 2.362 In
-4.921 -2.241 7.085 In
```

Results
Energy relative to the lowest polymorph listed for this composition ... 394 meV per atom
ρ ... 6.5 Mg/m³
Energy of formation from the pure elements ... 0.92 eV/atom
VASP energy ... -3.2845 eV/atom



# 2
VASP calculation (PBE) on a relaxed structure of ScSb2Pd2.

```
ScSb2Pd2
1.0
7.460 0.000 0.000
0.000 7.460 0.000
0.000 0.000 3.680
Sc Sb Pd
2 4 4
Cartesian
0.000 0.000 0.000 Sc
3.730 3.730 0.000 Sc
1.330 5.060 1.840 Sb
5.060 6.130 1.840 Sb
6.130 2.400 1.840 Sb
2.400 1.330 1.840 Sb
2.775 6.504 0.000 Pd
6.504 4.685 0.000 Pd
4.685 0.955 0.000 Pd
0.955 2.775 0.000 Pd
```

Results
ρ ... 8.1 Mg/m³
VASP energy ... -5.5112 eV/atom



# 3
VASP calculation (PBE) on a relaxed structure of SiPb2Br.

```
SiPb2Br
1.0
10.750 0.033 0.020
10.168 3.488 0.020
10.168 1.712 3.039
Br Pb Si
1 2 1
Cartesian
23.841 4.014 2.361 Br
0.026 0.004 0.003 Pb
7.424 1.250 0.735 Pb
15.339 2.582 1.519 Si
```

Results
Energy relative to the lowest polymorph listed for this composition ... 288 meV per atom
ρ ... 7.7 Mg/m³
VASP energy ... -3.4049 eV/atom



# 4
VASP calculation (PBE) on a relaxed structure of YCdO.

```
YCdO
1.0
3.696 0.000 0.000
0.000 3.696 0.000
-1.848 -1.848 8.801
Y Cd O
2 2 2
Cartesian
0.000 0.000 1.385 Y
1.848 1.848 7.416 Y
0.000 0.000 5.164 Cd
1.848 1.848 3.637 Cd
1.848 0.000 0.000 O
0.000 1.848 0.000 O
```

Results
Energy relative to the lowest polymorph listed for this composition ... 494 meV per atom
ρ ... 6.0 Mg/m³
VASP energy ... -5.6774 eV/atom



# 5
VASP calculation (PBE) on a relaxed structure of Pm6CuCl8.

```
Pm6CuCl8
1.0
-4.165 -4.193 3.701
2.355 -2.972 5.852
-3.875 5.610 8.563
Pm Cu Cl
6 1 8
Cartesian
-3.094 -4.917 8.549 Pm
-6.174 1.465 10.208 Pm
-3.078 0.951 12.854 Pm
-2.606 -2.506 5.262 Pm
0.490 -3.020 7.909 Pm
-2.590 3.361 9.567 Pm
0.000 0.000 0.000 Cu
-4.791 -0.781 11.232 Cl
-4.443 -2.582 7.413 Cl
-1.481 -3.156 10.067 Cl
-0.603 -2.388 3.185 Cl
-5.081 0.832 14.932 Cl
-4.203 1.600 8.049 Cl
-1.241 1.026 10.704 Cl
-0.893 -0.774 6.884 Cl
```

Results
ρ ... 4.7 Mg/m³
VASP energy ... -4.7659 eV/atom



# 6
VASP calculation (PBE) on a relaxed structure of NdSm2Dy6Tm3.

```
NdSm2Dy6Tm3
1.0
-2.218 -3.780 4.322
2.058 -2.294 -5.329
10.666 0.985 4.877
Nd Sm Dy Tm
1 2 6 3
Cartesian
0.000 0.000 0.000 Nd
0.632 -2.790 -2.111 Sm
-0.793 -3.285 1.105 Sm
7.119 -4.055 4.493 Dy
2.594 -4.317 0.484 Dy
3.386 -1.035 -0.623 Dy
8.546 -3.560 1.274 Dy
7.912 -0.773 3.386 Dy
1.960 -1.530 2.596 Dy
6.677 -2.050 -1.280 Tm
3.828 -3.040 5.150 Tm
5.253 -2.545 1.935 Tm
```

Results
ρ ... 8.4 Mg/m³
Energy of formation from the pure elements ... 0.02 eV/atom
VASP energy ... -4.5827 eV/atom



# 7
VASP calculation (PBE) on a relaxed structure of LiBe2Pd.

```
LiBe2Pd
1.0
-0.449 -0.754 -2.657
-1.302 -3.525 1.220
-3.676 1.432 0.215
Be Pd Li
2 1 1
Cartesian
-1.838 0.716 0.107 Be
-0.651 -1.763 0.610 Be
-2.713 -1.424 -0.611 Pd
-0.224 -0.377 -1.328 Li
```

Results
ρ ... 5.0 Mg/m³
Energy of formation from the pure elements ... -0.22 eV/atom
VASP energy ... -3.8558 eV/atom



# 8
VASP calculation (PBE) on a relaxed structure of Ca2BePb2.

```
Ca2BePb2
1.0
7.360 0.000 0.000
0.000 7.360 0.000
0.000 0.000 5.029
Pb Be Ca
4 2 4
Cartesian
2.566 6.246 0.000 Pb
6.246 4.794 0.000 Pb
4.794 1.114 0.000 Pb
1.114 2.566 0.000 Pb
0.000 0.000 0.000 Be
3.680 3.680 0.000 Be
1.218 4.898 2.515 Ca
4.898 6.143 2.515 Ca
6.143 2.463 2.515 Ca
2.463 1.218 2.515 Ca
```

Results
ρ ... 6.1 Mg/m³
Energy of formation from the pure elements ... -0.11 eV/atom
VASP energy ... -3.1408 eV/atom



# 9
VASP calculation (PBE) on a relaxed structure of MgInCl2.

```
MgInCl2
1.0
3.549 0.000 0.000
0.000 3.555 0.000
0.000 0.000 9.118
Cl In Mg
2 1 1
Cartesian
0.000 0.000 7.936 Cl
1.775 1.777 1.835 Cl
0.000 0.000 4.324 In
1.775 1.777 8.700 Mg
```

Results
Energy relative to the lowest polymorph listed for this composition ... 321 meV per atom
ρ ... 3.0 Mg/m³
VASP energy ... -2.9164 eV/atom



# 10
VASP calculation (PBE) on a relaxed structure of Al2CdGa9.

```
Al2CdGa9
1.0
4.225 0.000 0.000
0.000 4.225 0.000
0.000 0.000 12.479
Al Cd Ga
2 1 9
Cartesian
0.000 0.000 4.235 Al
0.000 0.000 8.244 Al
0.000 0.000 0.000 Cd
2.112 2.112 0.000 Ga
2.112 2.112 4.219 Ga
2.112 2.112 8.260 Ga
2.112 0.000 2.227 Ga
2.112 0.000 6.239 Ga
2.112 0.000 10.252 Ga
0.000 2.112 2.227 Ga
0.000 2.112 6.239 Ga
0.000 2.112 10.252 Ga
```

Results
ρ ... 5.9 Mg/m³
Energy of formation from the pure elements ... 0.04 eV/atom
VASP energy ... -2.9292 eV/atom



# 11
VASP calculation (PBE) on a relaxed structure of Nb3ZnCu.

```
Nb3ZnCu
1.0
-0.252 -3.300 -3.282
3.545 -2.266 2.006
-3.016 -2.387 2.632
Nb Zn Cu
3 1 1
Cartesian
1.772 -1.133 1.003 Nb
-1.508 -1.194 1.316 Nb
-0.126 -1.650 -1.641 Nb
0.138 -3.977 0.679 Zn
0.000 0.000 0.000 Cu
```

Results
Energy relative to the lowest polymorph listed for this composition ... 0 meV per atom
ρ ... 6.7 Mg/m³
Energy of formation from the pure elements ... 1.10 eV/atom
VASP energy ... -6.0114 eV/atom



# 12
VASP calculation (PBE) on a relaxed structure of AgP2Se.

```
AgP2Se
1.0
5.547 1.899 0.108
-0.639 5.828 0.108
0.850 1.338 2.236
Ag P Se
1 2 1
Cartesian
0.105 3.583 1.172 Ag
0.000 0.000 0.000 P
2.454 3.864 0.108 P
3.199 1.618 1.172 Se
```

Results
ρ ... 5.6 Mg/m³
VASP energy ... -3.9547 eV/atom



# 13
VASP calculation (PBE) on a relaxed structure of CeErTmTl.

```
CeErTmTl
1.0
5.361 0.000 0.000
2.681 4.643 0.000
2.681 1.548 4.378
Tl Tm Ce Er
1 1 1 1
Cartesian
0.000 0.000 0.000 Tl
8.042 4.643 3.283 Tm
5.361 3.095 2.189 Ce
2.681 1.548 1.094 Er
```

Results
ρ ... 10.4 Mg/m³
Energy of formation from the pure elements ... 0.04 eV/atom
VASP energy ... -4.2903 eV/atom



# 14
VASP calculation (PBE) on a relaxed structure of SnAsIr3.

```
SnAsIr3
1.0
4.858 0.000 0.000
0.000 4.858 0.000
0.000 0.000 4.858
As Ir Sn
1 3 1
Cartesian
2.429 2.429 2.429 As
0.000 2.429 0.000 Ir
0.000 0.000 2.429 Ir
2.429 0.000 0.000 Ir
0.000 0.000 0.000 Sn
```

Results
Energy relative to the lowest polymorph listed for this composition ... 978 meV per atom
ρ ... 11.2 Mg/m³
Energy of formation from the pure elements ... 1.87 eV/atom
VASP energy ... -5.1802 eV/atom



# 15
VASP calculation (PBE) on a relaxed structure of Sr2HoCd6.

```
Sr2HoCd6
1.0
3.635 0.000 0.002
0.003 7.665 4.408
0.002 0.015 8.842
Sr Ho Cd
2 1 6
Cartesian
0.002 2.560 4.416 Sr
3.638 5.121 8.835 Sr
0.000 0.000 0.000 Ho
1.817 5.151 2.963 Cd
1.823 7.670 7.308 Cd
1.822 2.530 10.288 Cd
1.820 5.155 5.863 Cd
1.816 0.011 5.943 Cd
1.819 2.525 7.388 Cd
```

Results
ρ ... 6.8 Mg/m³
Energy of formation from the pure elements ... -0.29 eV/atom
VASP energy ... -1.7846 eV/atom



# 16
VASP calculation (PBE) on a relaxed structure of MoPt2Pb.

```
MoPt2Pb
1.0
5.054 0.000 0.000
0.000 5.054 0.000
0.000 0.000 2.865
Mo Pb Pt
1 1 2
Cartesian
2.527 0.000 1.433 Mo
0.000 2.527 1.433 Pb
0.000 0.000 0.000 Pt
2.527 2.527 0.000 Pt
```

Results
ρ ... 15.7 Mg/m³
Energy of formation from the pure elements ... 0.24 eV/atom
VASP energy ... -6.4130 eV/atom



# 17
VASP calculation (PBE) on a relaxed structure of MnSbPb.

```
MnSbPb
1.0
-4.734 -0.846 0.004
-2.029 -2.295 3.707
-2.867 2.391 3.031
Mn Pb Sb
1 1 1
Cartesian
-7.222 -0.563 5.057 Mn
0.000 0.000 0.000 Pb
-4.815 -0.375 3.371 Sb
```

Results
Energy relative to the lowest polymorph listed for this composition ... 108 meV per atom
ρ ... 8.1 Mg/m³
VASP energy ... -5.4285 eV/atom



# 18
VASP calculation (PBE) on a relaxed structure of KFeCu2.

```
KFeCu2
1.0
4.671 0.000 0.000
2.335 4.045 0.000
2.335 1.348 3.813
Cu Fe K
2 1 1
Cartesian
0.000 0.000 0.000 Cu
2.335 1.348 0.953 Cu
4.671 2.697 1.907 Fe
7.006 4.045 2.860 K
```

Results
Energy relative to the lowest polymorph listed for this composition ... 552 meV per atom
ρ ... 5.1 Mg/m³
Energy of formation from the pure elements ... 1.07 eV/atom
VASP energy ... -3.3705 eV/atom



# 19
VASP calculation (PBE) on a relaxed structure of RbRuCSe2.

```
RbRuCSe2
1.0
-3.000 3.807 -2.252
-3.165 -1.609 1.497
0.539 3.016 4.380
Ru C Se Rb
1 1 2 1
Cartesian
0.000 0.000 0.000 Ru
-1.582 -0.804 0.749 C
0.269 1.508 2.190 Se
-1.500 1.903 -1.126 Se
-2.813 2.607 1.812 Rb
```

Results
ρ ... 5.4 Mg/m³
VASP energy ... -4.8753 eV/atom



# 20
VASP calculation (PBE) on a relaxed structure of Ti2CuPd.

```
Ti2CuPd
1.0
7.045 0.000 0.000
0.000 7.045 0.000
3.522 3.522 2.588
Cu Pd Ti
2 2 4
Cartesian
3.522 3.522 0.000 Cu
3.522 7.045 1.294 Cu
0.000 0.000 0.000 Pd
7.045 3.522 1.294 Pd
5.286 1.761 0.647 Ti
1.759 5.284 0.647 Ti
5.284 5.281 1.941 Ti
8.806 8.809 1.941 Ti
```

Results
ρ ... 6.9 Mg/m³
Energy of formation from the pure elements ... 0.06 eV/atom
VASP energy ... -6.2146 eV/atom



# 21
VASP calculation (PBE) on a relaxed structure of Re2MoSe.

```
Re2MoSe
1.0
4.448 0.000 0.000
2.224 3.852 0.000
2.224 1.284 3.632
Mo Re Se
1 2 1
Cartesian
4.448 2.568 1.816 Mo
0.000 0.000 0.000 Re
2.224 1.284 0.908 Re
6.673 3.852 2.724 Se
```

Results
ρ ... 14.6 Mg/m³
VASP energy ... -9.2310 eV/atom



# 22
VASP calculation (PBE) on a relaxed structure of PuTcGe2.

```
PuTcGe2
1.0
-0.350 -4.155 1.016
3.525 -2.412 0.414
1.275 -1.084 5.073
Pu Tc Ge
1 1 2
Cartesian
0.000 0.000 0.000 Pu
2.225 -3.826 3.251 Tc
3.320 -5.828 4.505 Ge
1.130 -1.823 1.997 Ge
```

Results
Energy relative to the lowest polymorph listed for this composition ... 53 meV per atom
ρ ... 10.7 Mg/m³
Energy of formation from the pure elements ... -0.26 eV/atom
VASP energy ... -8.7385 eV/atom



# 23
VASP calculation (PBE) on a relaxed structure of MgBi2Se4.

```
MgBi2Se4
1.0
1.794 -7.555 3.316
7.856 0.522 -3.049
6.614 -0.878 5.184
Mg Bi Se
2 4 8
Cartesian
11.441 -6.943 4.883 Mg
4.823 -0.969 0.567 Mg
8.132 -3.956 2.725 Bi
4.204 -4.217 4.250 Bi
0.000 0.000 0.000 Bi
0.897 -3.778 1.658 Bi
12.983 -2.388 3.687 Se
3.282 -5.524 1.764 Se
9.648 -1.985 1.124 Se
5.738 -2.221 2.698 Se
8.980 -2.651 5.241 Se
10.527 -5.690 2.752 Se
6.616 -5.926 4.326 Se
7.285 -5.261 0.209 Se
```

Results
ρ ... 5.9 Mg/m³
VASP energy ... -3.9246 eV/atom



# 24
VASP calculation (PBE) on a relaxed structure of TmInCl.

```
TmInCl
1.0
-3.624 -0.207 -2.186
-1.457 -2.931 2.692
-3.271 6.078 4.848
Cl In Tm
2 2 2
Cartesian
0.000 0.000 0.000 Cl
-2.541 -1.569 0.253 Cl
-2.095 1.073 3.371 In
-3.717 3.436 1.730 In
-3.305 3.321 5.164 Tm
-2.507 1.188 -0.063 Tm
```

Results
ρ ... 7.0 Mg/m³
VASP energy ... -3.9410 eV/atom



# 25
VASP calculation (PBE) on a relaxed structure of BaNa2Au.

```
BaNa2Au
1.0
-0.687 -0.299 4.671
-3.623 -2.955 -0.722
5.668 -11.348 2.502
Na Au Ba
4 2 2
Cartesian
0.503 -3.407 3.671 Na
-0.901 -4.707 0.541 Na
2.803 -9.594 3.391 Na
0.312 -11.496 5.298 Na
0.000 0.000 0.000 Au
1.413 -6.637 4.574 Au
-2.155 -1.627 1.974 Ba
-0.055 -7.965 1.877 Ba
```

Results
Energy relative to the lowest polymorph listed for this composition ... 113 meV per atom
ρ ... 4.5 Mg/m³
Energy of formation from the pure elements ... -0.22 eV/atom
VASP energy ... -2.1777 eV/atom



# 26
VASP calculation (PBE) on a relaxed structure of LiBeBi2Pt.

```
LiBeBi2Pt
1.0
-0.231 0.823 5.314
-1.716 -4.222 0.579
4.987 -1.956 0.520
Be Bi Pt Li
1 2 1 1
Cartesian
1.520 -2.677 3.206 Be
2.494 -0.978 0.260 Bi
-0.115 0.411 2.657 Bi
0.000 0.000 0.000 Pt
-0.858 -2.111 0.290 Li
```

Results
ρ ... 7.8 Mg/m³
Energy of formation from the pure elements ... 0.48 eV/atom
VASP energy ... -3.4041 eV/atom